Entry 1:
The following is a DFT calculation (PBE-GGA) of a geometry-optimized Tb6Ho3Er2Pu structure.

a b c (Å): 6.115 6.115 11.660
angles (deg): 95.03 95.03 120.00
Each line ends with the local moment (μB).
Atoms (fractional coordinates):
Tb 0.083 0.412 0.248  0.05
Tb 0.753 0.753 0.248  0.04
Tb 0.247 0.247 0.752  0.04
Tb 0.412 0.083 0.248  0.05
Tb 0.588 0.917 0.752  0.05
Tb 0.917 0.588 0.752  0.05
Er 0.667 0.333 0.000  0.16
Er 0.333 0.667 0.000  0.16
Ho 0.833 0.167 0.500  -0.04
Ho 0.167 0.833 0.500  -0.04
Ho 0.500 0.500 0.500  -0.05
Pu 0.000 0.000 0.000  5.59

Results
- size of the total moment (μB per atom) = 0.55
- energy of formation (eV/atom) = 0.042
- calculated density (kg/m3) = 9055
- E_tot (eV/atom) = -5.37
- Fermi-level density of states (states/eV/atom) = 1.95
- V (Å³ per cell) = 371.7

---

Entry 2:
The following is a DFT calculation (PBE-GGA) of a geometry-optimized TbHo2Er6Pu structure.

a b c (Å): 9.517 8.406 8.406
angles (deg): 110.39 97.26 97.26
Each line ends with the local moment (μB).
Atoms (fractional coordinates):
Er 0.399 0.536 0.326  0.14
Er 0.938 0.900 0.262  0.09
Er 0.101 0.674 0.464  0.14
Er 0.601 0.464 0.674  0.14
Er 0.822 0.458 0.017  0.06
Er 0.178 0.542 0.983  0.06
Er 0.678 0.983 0.542  0.06
Er 0.438 0.262 0.900  0.09
Er 0.562 0.738 0.100  0.09
Er 0.899 0.326 0.536  0.14
Er 0.062 0.100 0.738  0.09
Er 0.322 0.017 0.458  0.06
Ho 0.070 0.268 0.199  0.02
Ho 0.430 0.801 0.732  0.02
Ho 0.930 0.732 0.801  0.02
Ho 0.570 0.199 0.268  0.02
Pu 0.750 0.600 0.400  5.59
Pu 0.250 0.400 0.600  5.59
Tb 0.250 0.962 0.038  -0.05
Tb 0.750 0.038 0.962  -0.05

Results
- size of the total moment (μB per atom) = 0.66
- energy of formation (eV/atom) = 0.170
- calculated density (kg/m3) = 9381
- E_tot (eV/atom) = -5.38
- Fermi-level density of states (states/eV/atom) = 1.79
- V (Å³ per cell) = 614.7

---

Entry 3:
The following is a DFT calculation (PBE-GGA) of a geometry-optimized Tb2Ho3Er6Pu structure.

a b c (Å): 6.082 6.082 11.597
angles (deg): 95.03 95.03 120.01
Each line ends with the local moment (μB).
Atoms (fractional coordinates):
Er 0.413 0.083 0.249  -0.05
Er 0.083 0.413 0.249  -0.05
Er 0.246 0.246 0.751  -0.04
Er 0.587 0.917 0.751  -0.05
Er 0.917 0.587 0.751  -0.05
Er 0.754 0.754 0.249  -0.04
Tb 0.667 0.333 0.000  -0.10
Tb 0.333 0.667 0.000  -0.10
Ho 0.833 0.167 0.500  0.05
Ho 0.167 0.833 0.500  0.05
Ho 0.500 0.500 0.500  0.05
Pu 0.000 0.000 0.000  -5.57

Results
- size of the total moment (μB per atom) = 0.53
- energy of formation (eV/atom) = 0.043
- calculated density (kg/m3) = 9355
- E_tot (eV/atom) = -5.35
- Fermi-level density of states (states/eV/atom) = 2.05
- V (Å³ per cell) = 365.7

---

Entry 4:
The following is a DFT calculation (PBE-GGA) of a geometry-optimized TbHoErPu structure.

a b c (Å): 5.563 5.563 5.563
angles (deg): 60.00 60.00 60.00
Each line ends with the local moment (μB).
Atoms (fractional coordinates):
Er 0.250 0.250 0.250  0.25
Pu 0.000 0.000 0.000  5.56
Ho 0.750 0.750 0.750  0.25
Tb 0.500 0.500 0.500  0.18

Results
- size of the total moment (μB per atom) = 1.69
- energy of formation (eV/atom) = 0.191
- calculated density (kg/m3) = 10030
- E_tot (eV/atom) = -6.83
- Fermi-level density of states (states/eV/atom) = 2.62
- V (Å³ per cell) = 121.7